# Al2TcCl | Alexandria | GGA-PBE | relaxed
data_Al2TcCl
_chemical_formula_sum 'Al4 Tc2 Cl2'
_space_group_name_H-M_alt 'I m m m'
_space_group_IT_number 71
_space_group_name_Hall '-I 2 2'
_cell_length_a 3.220
_cell_length_b 4.582
_cell_length_c 8.442
_cell_angle_alpha 90.00
_cell_angle_beta 90.00
_cell_angle_gamma 90.00
loop_
_atom_site_label
_atom_site_type_symbol
_atom_site_fract_x
_atom_site_fract_y
_atom_site_fract_z
Al1 Al 0.000 0.000 0.245
Tc1 Tc 0.000 0.500 0.500
Cl1 Cl 0.000 0.500 0.000
# Energy relative to the elements, uncorrected, kcal/mol of atoms: 5.0
# Crystal system: orthorhombic
# Calculated total energy, eV per cell: -37.666
# Energy above the most stable polymorph in this dataset, eV/atom: 0.639